1.
Density functional theory data (GGA-PBE) for an optimized crystal structure of SrAgOF.

The structure in CIF format:
```
data_SrAgOF
_chemical_formula_sum 'Sr2 Ag2 O2 F2'
_symmetry_space_group_name_H-M 'P 1'
_symmetry_Int_Tables_number 1
_cell_length_a 3.791
_cell_length_b 3.791
_cell_length_c 8.587
_cell_angle_alpha 90.00
_cell_angle_beta 90.00
_cell_angle_gamma 90.00
loop_
_symmetry_equiv_pos_as_xyz
'x,y,z'
loop_
_atom_site_label
_atom_site_type_symbol
_atom_site_fract_x
_atom_site_fract_y
_atom_site_fract_z
Sr1 Sr 0.500 0.000 0.177
O1 O 0.500 0.000 0.692
Sr2 Sr 0.000 0.500 0.823
F1 F 0.000 0.000 0.000
Ag1 Ag 0.500 0.500 0.500
O2 O 0.000 0.500 0.308
F2 F 0.500 0.500 0.000
Ag2 Ag 0.000 0.000 0.500
```

Results
Total DFT energy (no corrections): -4.81 eV/atom
Crystal system: tetragonal


2.
Density functional theory data (GGA-PBE) for an optimized crystal structure of AgOsF6.

The structure in CIF format:
```
data_AgOsF6
_chemical_formula_sum 'Ag1 Os1 F6'
_symmetry_space_group_name_H-M 'P 1'
_symmetry_Int_Tables_number 1
_cell_length_a 4.665
_cell_length_b 4.665
_cell_length_c 4.918
_cell_angle_alpha 102.83
_cell_angle_beta 102.83
_cell_angle_gamma 88.34
loop_
_symmetry_equiv_pos_as_xyz
'x,y,z'
loop_
_atom_site_label
_atom_site_type_symbol
_atom_site_fract_x
_atom_site_fract_y
_atom_site_fract_z
F1 F 0.887 0.290 0.794
F2 F 0.710 0.113 0.206
F3 F 0.279 0.279 0.477
Os1 Os 0.000 0.000 0.500
F4 F 0.113 0.710 0.206
Ag1 Ag 0.500 0.500 0.000
F5 F 0.721 0.721 0.523
F6 F 0.290 0.887 0.794
```

Results
Total DFT energy (no corrections): -4.71 eV/atom
Total magnetization: 3.0 μB per cell
Crystal system: monoclinic


3.
Density functional theory data (GGA-PBE) for an optimized crystal structure of AgPF6.

The structure in CIF format:
```
data_AgPF6
_chemical_formula_sum 'Ag1 P1 F6'
_symmetry_space_group_name_H-M 'P 1'
_symmetry_Int_Tables_number 1
_cell_length_a 4.811
_cell_length_b 4.814
_cell_length_c 5.261
_cell_angle_alpha 89.97
_cell_angle_beta 62.80
_cell_angle_gamma 60.11
loop_
_symmetry_equiv_pos_as_xyz
'x,y,z'
loop_
_atom_site_label
_atom_site_type_symbol
_atom_site_fract_x
_atom_site_fract_y
_atom_site_fract_z
F1 F 0.222 0.156 0.792
Ag1 Ag 0.000 0.500 0.500
F2 F 0.778 0.844 0.208
F3 F 0.363 0.623 0.792
F4 F 0.830 0.015 0.792
F5 F 0.170 0.985 0.208
F6 F 0.637 0.377 0.208
P1 P 0.000 0.000 0.000
```

Results
Total DFT energy (no corrections): -4.59 eV/atom
Crystal system: triclinic


4.
Density functional theory data (GGA-PBE) for an optimized crystal structure of Ag6PF12.

The structure in CIF format:
```
data_Ag6PF12
_chemical_formula_sum 'Ag6 P1 F12'
_symmetry_space_group_name_H-M 'P 1'
_symmetry_Int_Tables_number 1
_cell_length_a 6.607
_cell_length_b 6.607
_cell_length_c 6.607
_cell_angle_alpha 98.79
_cell_angle_beta 98.79
_cell_angle_gamma 98.79
loop_
_symmetry_equiv_pos_as_xyz
'x,y,z'
loop_
_atom_site_label
_atom_site_type_symbol
_atom_site_fract_x
_atom_site_fract_y
_atom_site_fract_z
F1 F 0.994 0.961 0.749
P1 P 0.000 0.000 0.000
Ag1 Ag 0.146 0.315 0.597
F2 F 0.006 0.039 0.251
F3 F 0.162 0.602 0.413
F4 F 0.587 0.838 0.398
F5 F 0.961 0.749 0.994
F6 F 0.398 0.587 0.838
Ag2 Ag 0.403 0.854 0.685
F7 F 0.413 0.162 0.602
F8 F 0.749 0.994 0.961
F9 F 0.039 0.251 0.006
Ag3 Ag 0.597 0.146 0.315
Ag4 Ag 0.854 0.685 0.403
Ag5 Ag 0.685 0.403 0.854
F10 F 0.251 0.006 0.039
F11 F 0.838 0.398 0.587
F12 F 0.602 0.413 0.162
Ag6 Ag 0.315 0.597 0.146
```

Results
Total DFT energy (no corrections): -3.86 eV/atom
Crystal system: trigonal


5.
Density functional theory data (GGA-PBE) for an optimized crystal structure of AgPPb2F10.

The structure in CIF format:
```
data_AgPPb2F10
_chemical_formula_sum 'Ag1 P1 Pb2 F10'
_symmetry_space_group_name_H-M 'P 1'
_symmetry_Int_Tables_number 1
_cell_length_a 4.469
_cell_length_b 4.618
_cell_length_c 8.655
_cell_angle_alpha 89.40
_cell_angle_beta 77.74
_cell_angle_gamma 81.63
loop_
_symmetry_equiv_pos_as_xyz
'x,y,z'
loop_
_atom_site_label
_atom_site_type_symbol
_atom_site_fract_x
_atom_site_fract_y
_atom_site_fract_z
F1 F 0.339 0.301 0.976
Pb1 Pb 0.616 0.976 0.708
F2 F 0.950 0.361 0.838
F3 F 0.798 0.005 0.416
F4 F 0.854 0.235 0.099
F5 F 0.146 0.765 0.901
F6 F 0.661 0.699 0.024
P1 P 0.000 0.500 0.000
Ag1 Ag 0.000 0.500 0.500
F7 F 0.202 0.995 0.584
F8 F 0.050 0.639 0.162
F9 F 0.473 0.539 0.350
F10 F 0.527 0.461 0.650
Pb2 Pb 0.384 0.024 0.292
```

Results
Total DFT energy (no corrections): -4.64 eV/atom
Crystal system: triclinic


6.
Density functional theory data (GGA-PBE) for an optimized crystal structure of PaAgF6.

The structure in CIF format:
```
data_PaAgF6
_chemical_formula_sum 'Pa1 Ag1 F6'
_symmetry_space_group_name_H-M 'P 1'
_symmetry_Int_Tables_number 1
_cell_length_a 6.226
_cell_length_b 6.226
_cell_length_c 6.226
_cell_angle_alpha 60.00
_cell_angle_beta 60.00
_cell_angle_gamma 60.00
loop_
_symmetry_equiv_pos_as_xyz
'x,y,z'
loop_
_atom_site_label
_atom_site_type_symbol
_atom_site_fract_x
_atom_site_fract_y
_atom_site_fract_z
F1 F 0.262 0.738 0.738
F2 F 0.262 0.738 0.262
Pa1 Pa 0.500 0.500 0.500
F3 F 0.262 0.262 0.738
F4 F 0.738 0.262 0.738
F5 F 0.738 0.738 0.262
F6 F 0.738 0.262 0.262
Ag1 Ag 0.000 0.000 0.000
```

Results
Total DFT energy (no corrections): -6.05 eV/atom
Total magnetization: 0.0 μB per cell
Crystal system: cubic


7.
Density functional theory data (GGA-PBE) for an optimized crystal structure of AgPbF4.

The structure in CIF format:
```
data_AgPbF4
_chemical_formula_sum 'Ag2 Pb2 F8'
_symmetry_space_group_name_H-M 'P 1'
_symmetry_Int_Tables_number 1
_cell_length_a 6.784
_cell_length_b 6.784
_cell_length_c 6.784
_cell_angle_alpha 130.38
_cell_angle_beta 130.38
_cell_angle_gamma 72.80
loop_
_symmetry_equiv_pos_as_xyz
'x,y,z'
loop_
_atom_site_label
_atom_site_type_symbol
_atom_site_fract_x
_atom_site_fract_y
_atom_site_fract_z
F1 F 0.664 0.164 0.087
Pb1 Pb 0.250 0.250 0.000
Ag1 Ag 0.000 0.500 0.500
F2 F 0.836 0.923 0.500
F3 F 0.423 0.336 0.500
Pb2 Pb 0.750 0.750 0.000
F4 F 0.577 0.664 0.500
F5 F 0.336 0.836 0.913
F6 F 0.164 0.077 0.500
F7 F 0.077 0.577 0.913
F8 F 0.923 0.423 0.087
Ag2 Ag 0.500 0.000 0.500
```

Results
Total DFT energy (no corrections): -4.07 eV/atom
Crystal system: tetragonal


8.
Density functional theory data (GGA-PBE) for an optimized crystal structure of Rb2AgPbF6.

The structure in CIF format:
```
data_Rb2AgPbF6
_chemical_formula_sum 'Rb2 Ag1 Pb1 F6'
_symmetry_space_group_name_H-M 'P 1'
_symmetry_Int_Tables_number 1
_cell_length_a 6.344
_cell_length_b 6.344
_cell_length_c 6.344
_cell_angle_alpha 120.97
_cell_angle_beta 120.97
_cell_angle_gamma 88.32
loop_
_symmetry_equiv_pos_as_xyz
'x,y,z'
loop_
_atom_site_label
_atom_site_type_symbol
_atom_site_fract_x
_atom_site_fract_y
_atom_site_fract_z
F1 F 0.691 0.193 0.884
Rb1 Rb 0.250 0.750 0.500
F2 F 0.807 0.691 0.497
Pb1 Pb 0.000 0.000 0.000
F3 F 0.193 0.309 0.503
F4 F 0.749 0.749 0.000
F5 F 0.309 0.807 0.116
Rb2 Rb 0.750 0.250 0.500
F6 F 0.251 0.251 0.000
Ag1 Ag 0.500 0.500 0.000
```

Results
Total DFT energy (no corrections): -4.14 eV/atom
Distance to the lowest polymorph of the same formula: 0.0023 eV per atom
Crystal system: tetragonal